(1)
Below is Ho3Nb3Mo2N12 after structural relaxation, with properties calculated at the PBE level.

```
Ho3Nb3Mo2N12
1.0
-6.383 6.383 6.383
6.383 -6.383 6.383
6.383 6.383 -6.383
Ho Mo N Nb
12 8 48 12
Direct
0.375 0.750 0.125
0.250 0.375 0.125
0.375 0.125 0.250
0.875 0.625 0.250
0.750 0.125 0.375
0.125 0.250 0.375
0.875 0.750 0.625
0.250 0.875 0.625
0.125 0.375 0.750
0.625 0.875 0.750
0.625 0.250 0.875
0.750 0.625 0.875
0.000 0.000 0.000
0.500 0.000 0.000
0.000 0.500 0.000
0.500 0.500 0.000
0.000 0.000 0.500
0.500 0.000 0.500
0.000 0.500 0.500
0.500 0.500 0.500
0.202 0.118 0.027
0.324 0.909 0.027
0.882 0.409 0.084
0.702 0.676 0.084
0.618 0.416 0.091
0.973 0.676 0.091
0.027 0.202 0.118
0.591 0.916 0.118
0.202 0.584 0.176
0.473 0.591 0.176
0.584 0.176 0.202
0.118 0.027 0.202
0.473 0.382 0.298
0.324 0.916 0.298
0.909 0.027 0.324
0.916 0.298 0.324
0.298 0.473 0.382
0.584 0.909 0.382
0.824 0.527 0.409
0.084 0.882 0.409
0.091 0.618 0.416
0.824 0.798 0.416
0.591 0.176 0.473
0.382 0.298 0.473
0.618 0.702 0.527
0.409 0.824 0.527
0.176 0.202 0.584
0.909 0.382 0.584
0.916 0.118 0.591
0.176 0.473 0.591
0.416 0.091 0.618
0.702 0.527 0.618
0.084 0.702 0.676
0.091 0.973 0.676
0.676 0.084 0.702
0.527 0.618 0.702
0.416 0.824 0.798
0.882 0.973 0.798
0.527 0.409 0.824
0.798 0.416 0.824
0.409 0.084 0.882
0.973 0.798 0.882
0.027 0.324 0.909
0.382 0.584 0.909
0.298 0.324 0.916
0.118 0.591 0.916
0.676 0.091 0.973
0.798 0.882 0.973
0.875 0.250 0.125
0.750 0.875 0.125
0.625 0.375 0.250
0.125 0.875 0.250
0.250 0.625 0.375
0.625 0.750 0.375
0.375 0.250 0.625
0.750 0.375 0.625
0.875 0.125 0.750
0.375 0.625 0.750
0.250 0.125 0.875
0.125 0.750 0.875
```

Calculated total energy = -726.133 eV per cell
Size of the total moment = 0.000 μB/atom

(2)
Below is Rb2TlFeCl6 after structural relaxation, with properties calculated at the PBE level.

```
Rb2TlFeCl6
1.0
0.000 5.316 5.316
5.316 0.000 5.316
5.316 5.316 0.000
Cl Fe Rb Tl
6 1 2 1
Direct
0.775 0.225 0.225
0.225 0.775 0.225
0.775 0.775 0.225
0.225 0.225 0.775
0.775 0.225 0.775
0.225 0.775 0.775
0.000 0.000 0.000
0.250 0.250 0.250
0.750 0.750 0.750
0.500 0.500 0.500
```

Calculated total energy = -36.441 eV per cell
Size of the total moment = 0.446 μB/atom

(3)
Below is KCuSnSe3 after structural relaxation, with properties calculated at the PBE level.

```
KCuSnSe3
1.0
-2.004 -10.701 -1.524
0.801 -0.689 3.782
-13.841 2.120 3.317
Cu K Se Sn
4 4 12 4
Direct
0.741 0.750 0.203
0.241 0.750 0.297
0.759 0.250 0.703
0.259 0.250 0.797
0.268 0.750 0.009
0.768 0.750 0.491
0.232 0.250 0.509
0.732 0.250 0.991
0.931 0.750 0.115
0.539 0.750 0.128
0.237 0.250 0.192
0.737 0.250 0.308
0.039 0.750 0.372
0.431 0.750 0.385
0.569 0.250 0.615
0.961 0.250 0.628
0.263 0.750 0.692
0.763 0.750 0.808
0.461 0.250 0.872
0.069 0.250 0.885
0.998 0.250 0.239
0.498 0.250 0.261
0.502 0.750 0.739
0.002 0.750 0.761
```

Offset from the most stable computed form = 0.29 eV/f.u.

(4)
Below is Ta8NiSe8 after structural relaxation, with properties calculated at the PBE level.

```
Ta8NiSe8
1.0
22.773 0.000 0.000
0.000 3.465 0.000
0.000 0.000 16.990
Ni Se Ta
4 32 32
Direct
0.555 0.750 0.209
0.055 0.750 0.291
0.945 0.250 0.709
0.445 0.250 0.791
0.662 0.750 0.049
0.427 0.750 0.069
0.098 0.750 0.076
0.969 0.250 0.088
0.834 0.750 0.090
0.263 0.750 0.105
0.732 0.250 0.213
0.380 0.250 0.231
0.880 0.250 0.269
0.232 0.250 0.287
0.763 0.750 0.395
0.334 0.750 0.410
0.469 0.250 0.412
0.598 0.750 0.424
0.927 0.750 0.431
0.162 0.750 0.451
0.838 0.250 0.549
0.073 0.250 0.569
0.402 0.250 0.576
0.531 0.750 0.588
0.666 0.250 0.590
0.237 0.250 0.605
0.768 0.750 0.713
0.120 0.750 0.731
0.620 0.750 0.769
0.268 0.750 0.787
0.737 0.250 0.895
0.166 0.250 0.910
0.031 0.750 0.912
0.902 0.250 0.924
0.573 0.250 0.931
0.338 0.250 0.951
0.545 0.750 0.042
0.754 0.250 0.052
0.184 0.250 0.062
0.625 0.250 0.157
0.483 0.250 0.163
0.058 0.250 0.182
0.948 0.750 0.198
0.167 0.750 0.209
0.667 0.750 0.291
0.448 0.750 0.302
0.558 0.250 0.318
0.983 0.250 0.337
0.125 0.250 0.343
0.684 0.250 0.438
0.254 0.250 0.448
0.045 0.750 0.458
0.955 0.250 0.542
0.746 0.750 0.552
0.316 0.750 0.562
0.875 0.750 0.657
0.017 0.750 0.663
0.442 0.750 0.682
0.552 0.250 0.698
0.333 0.250 0.709
0.833 0.250 0.791
0.052 0.250 0.802
0.942 0.750 0.818
0.517 0.750 0.837
0.375 0.750 0.843
0.816 0.750 0.938
0.246 0.750 0.948
0.455 0.250 0.958
```

Calculated total energy = -557.507 eV per cell
Size of the total moment = 0.004 μB/atom

(5)
Below is LiSmLu after structural relaxation, with properties calculated at the PBE level.

```
LiSmLu
1.0
1.668 1.433 4.516
-2.965 -0.445 4.030
1.028 -3.446 3.507
Li Lu Sm
1 1 1
Direct
0.000 0.000 0.000
0.250 0.250 0.250
0.750 0.750 0.750
```

Size of the total moment = 0.002 μB/atom
Offset from the most stable computed form = 0.00 eV/f.u.

(6)
Below is ErAsPdO after structural relaxation, with properties calculated at the PBE level.

```
ErAsPdO
1.0
3.507 0.000 0.000
0.000 7.655 0.000
0.000 0.000 5.418
As Er O Pd
2 2 2 2
Direct
0.000 0.940 0.430
0.000 0.060 0.930
0.000 0.316 0.383
0.000 0.684 0.883
0.500 0.570 0.023
0.500 0.430 0.523
0.500 0.720 0.418
0.500 0.280 0.918
```

Size of the total moment = 0.000 μB/atom
Offset from the most stable computed form = 1.75 eV/f.u.

(7)
Below is GdHfTc after structural relaxation, with properties calculated at the PBE level.

```
GdHfTc
1.0
3.491 -1.532 2.620
-0.449 -3.943 2.376
2.378 -3.755 -1.280
Gd Hf Tc
1 1 1
Direct
0.000 0.000 0.000
0.250 0.250 0.250
0.750 0.750 0.750
```

ΔH_f (0 K) = 114.3 kJ/mol of atoms
Size of the total moment = 0.004 μB/atom

(8)
Below is CdCu2GeSeS3 after structural relaxation, with properties calculated at the PBE level.

```
CdCu2GeSeS3
1.0
-0.520 5.220 -1.982
-3.274 1.335 4.353
6.203 -1.729 1.636
Cd Cu Ge S Se
1 2 1 3 1
Direct
0.997 0.997 0.008
0.731 0.256 0.490
0.256 0.731 0.490
0.510 0.510 0.007
0.864 0.410 0.271
0.410 0.864 0.271
0.598 0.598 0.735
0.135 0.135 0.728
```

Calculated total energy = -31.980 eV per cell

(9)
Below is PrLuIn2Ni4 after structural relaxation, with properties calculated at the PBE level.

```
PrLuIn2Ni4
1.0
4.036 0.000 0.000
0.000 5.123 0.000
0.000 0.000 7.049
In Lu Ni Pr
2 1 4 1
Direct
0.000 0.500 0.346
0.000 0.000 0.646
0.500 0.000 0.264
0.000 0.244 0.006
0.000 0.756 0.006
0.500 0.500 0.114
0.500 0.000 0.897
0.500 0.500 0.723
```

Calculated total energy = -40.466 eV per cell
Size of the total moment = 0.000 μB/atom

(10)
Below is HoCdSb after structural relaxation, with properties calculated at the PBE level.

```
HoCdSb
1.0
0.000 3.535 3.535
3.535 0.000 3.535
3.535 3.535 0.000
Cd Ho Sb
1 1 1
Direct
0.250 0.250 0.250
0.750 0.750 0.750
0.000 0.000 0.000
```

Size of the total moment = 0.001 μB/atom
Offset from the most stable computed form = 0.58 eV/f.u.

(11)
Below is SrNbTe after structural relaxation, with properties calculated at the PBE level.

```
SrNbTe
1.0
-4.971 1.694 1.075
-2.274 3.758 -3.072
-4.041 -1.299 -3.274
Nb Sr Te
1 1 1
Direct
0.250 0.250 0.250
0.000 0.000 0.000
0.750 0.750 0.750
```

Size of the total moment = 1.658 μB/atom
Offset from the most stable computed form = 1.24 eV/f.u.

(12)
Below is TmC2 after structural relaxation, with properties calculated at the PBE level.

```
TmC2
1.0
-5.705 -2.757 3.781
-2.638 3.623 5.862
-6.596 3.287 -0.356
C Tm
4 2
Direct
0.375 0.375 0.375
0.375 0.875 0.375
0.875 0.375 0.375
0.375 0.375 0.875
0.250 0.250 0.250
0.500 0.500 0.500
```

Size of the total moment = 1.662 μB/atom
Offset from the most stable computed form = 9.58 eV/f.u.

(13)
Below is SmZrBe2Si2 after structural relaxation, with properties calculated at the PBE level.

```
SmZrBe2Si2
1.0
3.812 0.000 0.000
-1.906 3.301 0.000
0.000 0.000 7.837
Be Si Sm Zr
2 2 1 1
Direct
0.667 0.333 0.276
0.333 0.667 0.724
0.333 0.667 0.268
0.667 0.333 0.732
0.000 0.000 0.000
0.000 0.000 0.500
```

Calculated total energy = -35.689 eV per cell
Size of the total moment = 0.001 μB/atom

(14)
Below is PmYOs after structural relaxation, with properties calculated at the PBE level.

```
PmYOs
1.0
0.000 3.363 3.363
3.363 0.000 3.363
3.363 3.363 0.000
Os Pm Y
1 1 1
Direct
0.750 0.750 0.750
0.250 0.250 0.250
0.000 0.000 0.000
```

ΔH_f (0 K) = 72.1 kJ/mol of atoms
Size of the total moment = 0.000 μB/atom
Offset from the most stable computed form = 0.00 eV/f.u.

(15)
Below is KAcAu after structural relaxation, with properties calculated at the PBE level.

```
KAcAu
1.0
0.000 3.834 3.834
3.834 0.000 3.834
3.834 3.834 0.000
Ac Au K
1 1 1
Direct
0.000 0.000 0.000
0.250 0.250 0.250
0.750 0.750 0.750
```

Size of the total moment = 0.017 μB/atom
Offset from the most stable computed form = 0.00 eV/f.u.

(16)
Below is NdZn after structural relaxation, with properties calculated at the PBE level.

```
NdZn
1.0
-2.539 -1.616 2.109
2.634 -1.140 2.296
-0.356 3.098 1.946
Nd Zn
1 1
Direct
0.000 0.000 0.000
0.500 0.500 0.500
```

ΔH_f (0 K) = -30.8 kJ/mol of atoms
Size of the total moment = 0.009 μB/atom

(17)
Below is BaNaPd after structural relaxation, with properties calculated at the PBE level.

```
BaNaPd
1.0
-5.070 -1.178 -0.712
-3.257 3.561 -2.077
-1.882 -0.680 -4.858
Ba Na Pd
1 1 1
Direct
0.250 0.250 0.250
0.750 0.750 0.750
0.000 0.000 0.000
```

Offset from the most stable computed form = 0.00 eV/f.u.

(18)
Below is LiHfZrAu after structural relaxation, with properties calculated at the PBE level.

```
LiHfZrAu
1.0
0.000 3.377 3.377
3.377 0.000 3.377
3.377 3.377 0.000
Au Hf Li Zr
1 1 1 1
Direct
0.250 0.250 0.250
0.500 0.500 0.500
0.750 0.750 0.750
0.000 0.000 0.000
```

Size of the total moment = 0.189 μB/atom
Offset from the most stable computed form = 0.00 eV/f.u.